# 1
# NbP2S2 (PBE, relaxed)
# Raw formation energy   24 kJ per mole of atoms
# E above lowest polymorph   44.5 kJ/mol of atoms
# Density of states at the Fermi level   5.64 states/eV per cell
data_NbP2S2
_symmetry_space_group_name_H-M 'P 4/m b m'
_symmetry_Int_Tables_number 127
_symmetry_space_group_name_Hall '-P 4 2ab'
_cell_length_a 7.1350
_cell_length_b 7.1350
_cell_length_c 3.1539
_cell_angle_alpha 90.00
_cell_angle_beta 90.00
_cell_angle_gamma 90.00
loop_
_atom_site_label
_atom_site_type_symbol
_atom_site_fract_x
_atom_site_fract_y
_atom_site_fract_z
_atom_site_occupancy
Nb1 Nb 0.0000 0.0000 0.0000 1
P1 P 0.2055 0.2945 0.5000 1
S1 S 0.1407 0.6407 0.0000 1

=====

# 2
# NbP2S (PBE, relaxed)
# Raw formation energy   30 kJ per mole of atoms
# Density of states at the Fermi level   17.59 states/eV per cell
data_NbP2S
_symmetry_space_group_name_H-M 'I -4 2 d'
_symmetry_Int_Tables_number 122
_symmetry_space_group_name_Hall 'I -4 2bw'
_cell_length_a 5.6358
_cell_length_b 5.6358
_cell_length_c 10.8382
_cell_angle_alpha 90.00
_cell_angle_beta 90.00
_cell_angle_gamma 90.00
loop_
_atom_site_label
_atom_site_type_symbol
_atom_site_fract_x
_atom_site_fract_y
_atom_site_fract_z
_atom_site_occupancy
Nb1 Nb 0.0000 0.0000 0.0000 1
P1 P 0.2479 0.2500 0.1250 1
S1 S 0.0000 0.0000 0.5000 1

=====

# 3
# NbP2S2 (PBE, relaxed)
# Raw formation energy   -20 kJ per mole of atoms
# E above lowest polymorph   0.0 kJ/mol of atoms
# Density of states at the Fermi level   5.51 states/eV per cell
data_NbP2S2
_symmetry_space_group_name_H-M 'I 4/m m m'
_symmetry_Int_Tables_number 139
_symmetry_space_group_name_Hall '-I 4 2'
_cell_length_a 3.1380
_cell_length_b 3.1380
_cell_length_c 21.3505
_cell_angle_alpha 90.00
_cell_angle_beta 90.00
_cell_angle_gamma 90.00
loop_
_atom_site_label
_atom_site_type_symbol
_atom_site_fract_x
_atom_site_fract_y
_atom_site_fract_z
_atom_site_occupancy
Nb1 Nb 0.0000 0.0000 0.0000 1
P1 P 0.0000 0.5000 0.2500 1
S1 S 0.0000 0.0000 0.4318 1

=====

# 4
# NbP2S2 (PBE, relaxed)
# Raw formation energy   57 kJ per mole of atoms
# E above lowest polymorph   77.2 kJ/mol of atoms
# Density of states at the Fermi level   5.09 states/eV per cell
data_NbP2S2
_symmetry_space_group_name_H-M 'P 4/m m m'
_symmetry_Int_Tables_number 123
_symmetry_space_group_name_Hall '-P 4 2'
_cell_length_a 4.3801
_cell_length_b 4.3801
_cell_length_c 4.4071
_cell_angle_alpha 90.00
_cell_angle_beta 90.00
_cell_angle_gamma 90.00
loop_
_atom_site_label
_atom_site_type_symbol
_atom_site_fract_x
_atom_site_fract_y
_atom_site_fract_z
_atom_site_occupancy
Nb1 Nb 0.0000 0.0000 0.0000 1
P1 P 0.5000 0.5000 0.0000 1
P2 P 0.5000 0.5000 0.5000 1
S1 S 0.0000 0.5000 0.5000 1

=====

# 5
# NbPS2 (PBE, relaxed)
# Raw formation energy   -35 kJ per mole of atoms
# Density of states at the Fermi level   5.36 states/eV per cell
data_NbPS2
_symmetry_space_group_name_H-M 'R -3 m'
_symmetry_Int_Tables_number 166
_symmetry_space_group_name_Hall '-R 3 2"'
_cell_length_a 3.2542
_cell_length_b 3.2542
_cell_length_c 24.3174
_cell_angle_alpha 90.00
_cell_angle_beta 90.00
_cell_angle_gamma 120.00
loop_
_atom_site_label
_atom_site_type_symbol
_atom_site_fract_x
_atom_site_fract_y
_atom_site_fract_z
_atom_site_occupancy
Nb1 Nb 0.0000 0.0000 0.0000 1
P1 P 0.0000 0.0000 0.5000 1
S1 S 0.0000 0.0000 0.4006 1

=====

# 6
# NbP3S (PBE, relaxed)
# Raw formation energy   79 kJ per mole of atoms
# E above lowest polymorph   9.6 kJ/mol of atoms
# Density of states at the Fermi level   4.87 states/eV per cell
data_NbP3S
_symmetry_space_group_name_H-M 'P m -3 m'
_symmetry_Int_Tables_number 221
_symmetry_space_group_name_Hall '-P 4 2 3'
_cell_length_a 4.3737
_cell_length_b 4.3737
_cell_length_c 4.3737
_cell_angle_alpha 90.00
_cell_angle_beta 90.00
_cell_angle_gamma 90.00
loop_
_atom_site_label
_atom_site_type_symbol
_atom_site_fract_x
_atom_site_fract_y
_atom_site_fract_z
_atom_site_occupancy
Nb1 Nb 0.0000 0.0000 0.0000 1
P1 P 0.0000 0.5000 0.5000 1
S1 S 0.5000 0.5000 0.5000 1

=====

# 7
# NbPS3 (PBE, relaxed)
# Raw formation energy   -54 kJ per mole of atoms
# E above lowest polymorph   0.0 kJ/mol of atoms
# Density of states at the Fermi level   7.42 states/eV per cell
data_NbPS3
_symmetry_space_group_name_H-M 'P n m a'
_symmetry_Int_Tables_number 62
_symmetry_space_group_name_Hall '-P 2ac 2n'
_cell_length_a 12.7808
_cell_length_b 3.3474
_cell_length_c 11.3086
_cell_angle_alpha 90.00
_cell_angle_beta 90.00
_cell_angle_gamma 90.00
loop_
_atom_site_label
_atom_site_type_symbol
_atom_site_fract_x
_atom_site_fract_y
_atom_site_fract_z
_atom_site_occupancy
Nb1 Nb 0.0280 0.2500 0.0988 1
P1 P 0.1164 0.7500 0.3537 1
S1 S 0.0002 0.2500 0.3376 1
S2 S 0.1139 0.2500 0.9033 1
S3 S 0.1666 0.7500 0.1740 1

=====

# 8
# NbP2S2 (PBE, relaxed)
# Raw formation energy   75 kJ per mole of atoms
# E above lowest polymorph   94.9 kJ/mol of atoms
# Density of states at the Fermi level   4.68 states/eV per cell
data_NbP2S2
_symmetry_space_group_name_H-M 'P 4/m m m'
_symmetry_Int_Tables_number 123
_symmetry_space_group_name_Hall '-P 4 2'
_cell_length_a 4.4256
_cell_length_b 4.4256
_cell_length_c 4.3516
_cell_angle_alpha 90.00
_cell_angle_beta 90.00
_cell_angle_gamma 90.00
loop_
_atom_site_label
_atom_site_type_symbol
_atom_site_fract_x
_atom_site_fract_y
_atom_site_fract_z
_atom_site_occupancy
Nb1 Nb 0.0000 0.0000 0.0000 1
P1 P 0.0000 0.5000 0.5000 1
S1 S 0.5000 0.5000 0.0000 1
S2 S 0.5000 0.5000 0.5000 1

=====

| no. | total magnetization (μB/f.u.) |
| --- | --- |
| 1 | 0.0 |
| 2 | 0.0 |
| 3 | 0.0 |
| 4 | 0.0 |
| 5 | 0.0 |
| 6 | 0.0 |
| 7 | 0.0 |
| 8 | 1.1 |